(1)
# CdBi12Pd7

An optimized crystal structure of CdBi12Pd7 (PBE, the Alexandria database).

Cell: 15.1697 15.1697 7.7480 Å, 90.00 90.00 120.00°
Space group R-3 (No. 148, hexagonal axes)
Symmetry-distinct sites (fractional):
Cd: 0.0000 0.0000 0.0000 (multiplicity 3)
Bi: 0.0603 0.2678 0.9881 (multiplicity 18)
Bi: 0.0596 0.8463 0.3732 (multiplicity 18)
Pd: 0.0000 0.0000 0.5000 (multiplicity 3)
Pd: 0.0453 0.8782 0.7505 (multiplicity 18)

Computed properties:
Magnetization, Bohr magnetons per cell: 0.000
D(E_F), states/eV per atom: 0.468
Formation energy, eV/f.u.: -3.58
Uncorrected energy, eV/atom: -4.371

=====

(2)
# Nd6Dy3Tm2

An optimized crystal structure of Nd6Dy3Tm2 (PBE, the Alexandria database).

Cell: 4.761 4.761 33.847 Å, 90.00 90.00 90.00°
Space group I4/mmm (No. 139)
Symmetry-distinct sites (fractional):
Nd: 0.000 0.000 0.204 (multiplicity 4)
Nd: 0.000 0.500 0.119 (multiplicity 8)
Dy: 0.000 0.000 0.305 (multiplicity 4)
Dy: 0.000 0.000 0.500 (multiplicity 2)
Tm: 0.000 0.000 0.045 (multiplicity 4)

Computed properties:
Energy above the most stable polymorph in this dataset, eV per formula unit: 2.391
Magnetization, Bohr magnetons per cell: 0.000
D(E_F), states/eV per atom: 1.494
Formation energy, eV/f.u.: 3.28
Uncorrected energy, eV/atom: -4.370

=====

(3)
# CdNiSe3

An optimized crystal structure of CdNiSe3 (PBE, the Alexandria database).

Cell: 5.194 5.194 5.194 Å, 90.00 90.00 90.00°
Space group Pm-3m (No. 221)
Symmetry-distinct sites (fractional):
Cd: 0.000 0.000 0.000 (multiplicity 1)
Ni: 0.500 0.500 0.500 (multiplicity 1)
Se: 0.000 0.000 0.500 (multiplicity 3)

Computed properties:
Raw formation energy, meV/atom: 1032
Energy above the most stable polymorph in this dataset, eV per formula unit: 4.160
Magnetization, Bohr magnetons per cell: 2.432
D(E_F), states/eV per atom: 1.753
Uncorrected energy, eV/atom: -2.398

=====

Which formula does entry 2 have? Nd6Dy3Tm2

=====

Among the records above, which one has the lowest uncorrected energy? CdBi12Pd7

=====

What is the formula in the second record? Nd6Dy3Tm2